No. 1
Here is a relaxed structure of LiInPb from Alexandria via LeMat-Bulk. Energies are from GGA-PBE.

Computed properties:
As for the density of states at the Fermi level: 4.67 states/eV per cell. The total DFT energy (no corrections) comes out at -2.3207 eV per atom.

Lattice parameters (Å, degrees): 4.643 4.643 11.858 90.00 90.00 120.00
Element x y z (fractional)
Li (0.667, 0.333, 0.750)
Li (0.333, 0.667, 0.250)
In (0.000, 0.000, 0.250)
In (0.000, 0.000, 0.750)
Pb (0.000, 0.000, 0.500)
Pb (0.000, 0.000, 0.000)

=====

No. 2
Here is a relaxed structure of EuCdSn4 from Alexandria via LeMat-Bulk. Energies are from GGA-PBE.

Computed properties:
As for the density of states at the Fermi level: 12.14 states/eV per cell. The total DFT energy (no corrections) comes out at -4.7243 eV per atom.

Lattice parameters (Å, degrees): 6.248 6.248 6.248 60.00 60.00 60.00
Last column: magnetic moment on the atom in μB.
Element x y z (fractional)
Sn (0.625, 0.126, 0.625)  -0.02
Sn (0.625, 0.625, 0.625)  -0.02
Sn (0.625, 0.625, 0.126)  -0.02
Sn (0.126, 0.625, 0.625)  -0.02
Eu (0.000, 0.000, 0.000)  6.83
Cd (0.250, 0.250, 0.250)  -0.01

=====

No. 3
Here is a relaxed structure of LaTa4Au from Alexandria via LeMat-Bulk. Energies are from GGA-PBE.

Computed properties:
As for the density of states at the Fermi level: 8.26 states/eV per cell. The total DFT energy (no corrections) comes out at -8.8753 eV per atom.

Lattice parameters (Å, degrees): 5.658 5.658 5.658 60.00 60.00 60.00
Element x y z (fractional)
La (0.000, 0.000, 0.000)
Ta (0.374, 0.879, 0.374)
Ta (0.374, 0.374, 0.374)
Ta (0.879, 0.374, 0.374)
Ta (0.374, 0.374, 0.879)
Au (0.750, 0.750, 0.750)

=====

No. 4
Here is a relaxed structure of Sm3Te3Pb from Alexandria via LeMat-Bulk. Energies are from GGA-PBE.

Computed properties:
As for the density of states at the Fermi level: 5.29 states/eV per cell. The total DFT energy (no corrections) comes out at -4.9352 eV per atom.

Lattice parameters (Å, degrees): 6.291 6.291 6.291 90.00 90.00 90.00
Element x y z (fractional)
Te (0.000, 0.000, 0.500)
Te (0.000, 0.500, 0.000)
Te (0.500, 0.000, 0.000)
Pb (0.500, 0.500, 0.500)
Sm (0.500, 0.500, 0.000)
Sm (0.000, 0.500, 0.500)
Sm (0.500, 0.000, 0.500)